# 1
CaCoRe2 | GGA-PBE | relaxed

a b c (Å): 3.142 3.144 7.061
angles (deg): 90.00 90.00 90.00
Last column: magnetic moment on the atom in μB.
Atoms (fractional coordinates):
Re 0.000 0.000 0.921  0.08
Re 0.000 0.000 0.579  0.08
Ca 0.500 0.500 0.250  0.00
Co 0.500 0.500 0.750  0.96

Computed properties:
ΔE_f ... 224 kJ/mol of formula units
SG ... P4/mmm, No. 123
Offset from the most stable computed form ... 239 meV/atom

# 2
Zr2CrW | GGA-PBE | relaxed

a b c (Å): 2.926 2.926 8.890
angles (deg): 90.00 90.00 110.98
Atoms (fractional coordinates):
Cr 0.500 0.500 0.250
Zr 0.000 0.000 0.484
Zr 0.000 0.000 0.016
W 0.500 0.500 0.750

Computed properties:
ΔE_f ... 120 kJ/mol of formula units
SG ... Cmmm, No. 65
Offset from the most stable computed form ... 190 meV/atom

# 3
LaSb2I | GGA-PBE | relaxed

a b c (Å): 5.632 5.632 5.632
angles (deg): 60.00 60.00 60.00
Atoms (fractional coordinates):
Sb 0.250 0.250 0.250
Sb 0.750 0.750 0.750
I 0.000 0.000 0.000
La 0.500 0.500 0.500

Computed properties:
SG ... Fm-3m, No. 225
Raw formation energy ... -0.138 eV/atom

# 4
LiRhAu2 | GGA-PBE | relaxed

a b c (Å): 2.756 4.183 5.606
angles (deg): 90.00 90.00 90.00
Last column: magnetic moment on the atom in μB.
Atoms (fractional coordinates):
Li 0.000 0.000 0.498  0.00
Au 0.000 0.000 0.977  0.02
Au 0.500 0.500 0.270  0.01
Rh 0.500 0.500 0.755  0.53

Computed properties:
ΔE_f ... -38 kJ/mol of formula units
SG ... Pmm2, No. 25